a) DFT (PBE) results for a relaxed structure of TaGe2F.

a b c (Å): 4.5292 4.5292 4.5292
angles (deg): 60.00 60.00 60.00
Fractional coordinates of all 4 atoms:
Ge  0.2500  0.2500  0.2500
Ge  0.7500  0.7500  0.7500
F  0.0000  0.0000  0.0000
Ta  0.5000  0.5000  0.5000

Calculated values
The calculation puts the density of states at the Fermi level at 5.19 states/eV/f.u. The density comes out at 8.73 Mg/m³.

b) DFT (PBE) results for a relaxed structure of TaGe2F.

a b c (Å): 7.1727 7.1727 5.6373
angles (deg): 50.49 50.49 90.00
Fractional coordinates of all 8 atoms:
Ge  0.5869  0.1250  0.2500
Ge  0.1631  0.6250  0.2500
Ge  0.3750  0.4131  0.7500
Ge  0.8750  0.8369  0.7500
F  0.5000  0.5000  0.0000
F  0.2500  0.7500  0.5000
Ta  0.0000  0.0000  0.0000
Ta  0.7500  0.2500  0.5000

Calculated values
The calculation puts the density of states at the Fermi level at 1.76 states/eV/f.u. The density comes out at 9.06 Mg/m³.

Preferred: b); penalty for the next structure: 10.0 kJ/mol of atoms.

a) DFT (PBE) results for a relaxed structure of TbGeF.

a b c (Å): 3.9733 7.1395 3.8614
angles (deg): 90.00 90.00 73.87
Fractional coordinates of all 6 atoms:
F  0.2450  0.5103  0.7500
F  0.7550  0.4897  0.2500
Ge  0.9428  0.1126  0.7500
Ge  0.0572  0.8874  0.2500
Tb  0.6376  0.7258  0.7500
Tb  0.3624  0.2742  0.2500

Calculated values
The calculation puts the density of states at the Fermi level at 0.72 states/eV/f.u. The density comes out at 7.91 Mg/m³.

b) DFT (PBE) results for a relaxed structure of TbGeF.

a b c (Å): 4.7923 3.8585 3.8585
angles (deg): 120.00 90.00 90.00
Fractional coordinates of all 3 atoms:
Ge  0.6666  0.6667  0.3333
Tb  0.1666  0.0000  0.0000
F  0.1668  0.3333  0.6667

Calculated values
The calculation puts the density of states at the Fermi level at 1.46 states/eV/f.u. The density comes out at 6.73 Mg/m³.

Preferred: a); penalty for the next structure: 36.9 kJ/mol of atoms.

a) DFT (PBE) results for a relaxed structure of Tc2Ge2F.

a b c (Å): 6.7936 6.7936 3.2185
angles (deg): 90.00 90.00 90.00
Each line ends with the local moment (μB).
Fractional coordinates of all 10 atoms:
Ge  0.1443  0.6443  0.5000  0.00
Ge  0.6443  0.8557  0.5000  0.00
Ge  0.8557  0.3557  0.5000  0.00
Ge  0.3557  0.1443  0.5000  0.00
Tc  0.3477  0.8477  0.0000  0.05
Tc  0.8477  0.6523  0.0000  0.05
Tc  0.6523  0.1523  0.0000  0.05
Tc  0.1523  0.3477  0.0000  0.05
F  0.0000  0.0000  0.0000  0.00
F  0.5000  0.5000  0.0000  0.00

Calculated values
The calculation puts the density of states at the Fermi level at 4.84 states/eV/f.u. The density comes out at 8.06 Mg/m³.

b) DFT (PBE) results for a relaxed structure of Tc2Ge2F.

a b c (Å): 5.0628 5.0628 4.8809
angles (deg): 58.76 58.76 90.00
Each line ends with the local moment (μB).
Fractional coordinates of all 5 atoms:
Ge  0.7500  0.2500  0.5000  0.03
Ge  0.2500  0.7500  0.5000  0.03
Tc  0.3351  0.3351  0.3297  0.28
Tc  0.6649  0.6649  0.6703  0.28
F  0.0000  0.0000  0.0000  0.00

Calculated values
The calculation puts the density of states at the Fermi level at 4.61 states/eV/f.u. The density comes out at 7.03 Mg/m³.

Preferred: a); penalty for the next structure: 12.1 kJ/mol of atoms.

a) DFT (PBE) results for a relaxed structure of TcGeF3.

a b c (Å): 4.3875 4.3875 4.3875
angles (deg): 90.00 90.00 90.00
Each line ends with the local moment (μB).
Fractional coordinates of all 5 atoms:
Ge  0.0000  0.0000  0.0000  0.02
Tc  0.5000  0.5000  0.5000  3.71
F  0.0000  0.5000  0.0000  0.04
F  0.0000  0.0000  0.5000  0.03
F  0.5000  0.0000  0.0000  0.03

Calculated values
The calculation puts the density of states at the Fermi level at 5.53 states/eV/f.u. The density comes out at 4.48 Mg/m³.

b) DFT (PBE) results for a relaxed structure of TcGeF3.

a b c (Å): 4.3026 4.3026 4.3026
angles (deg): 90.00 90.00 90.00
Each line ends with the local moment (μB).
Fractional coordinates of all 5 atoms:
Ge  0.5000  0.5000  0.5000  -0.16
Tc  0.0000  0.0000  0.0000  2.83
F  0.0000  0.5000  0.0000  0.06
F  0.0000  0.0000  0.5000  0.03
F  0.5000  0.0000  0.0000  0.09

Calculated values
The calculation puts the density of states at the Fermi level at 4.88 states/eV/f.u. The density comes out at 4.75 Mg/m³.

Preferred: b); penalty for the next structure: 5.6 kJ/mol of atoms.

a) DFT (PBE) results for a relaxed structure of Tc2GeF.

a b c (Å): 6.5288 6.5288 5.3172
angles (deg): 52.13 52.13 90.00
Fractional coordinates of all 8 atoms:
Ge  0.0000  0.0000  0.0000
Ge  0.7500  0.2500  0.5000
Tc  0.5726  0.1250  0.2500
Tc  0.1774  0.6250  0.2500
Tc  0.3750  0.4274  0.7500
Tc  0.8750  0.8226  0.7500
F  0.5000  0.5000  0.0000
F  0.2500  0.7500  0.5000

Calculated values
The calculation puts the density of states at the Fermi level at 6.55 states/eV/f.u. The density comes out at 8.50 Mg/m³.

b) DFT (PBE) results for a relaxed structure of Tc2GeF.

a b c (Å): 4.2739 4.2739 4.2739
angles (deg): 60.00 60.00 60.00
Each line ends with the local moment (μB).
Fractional coordinates of all 4 atoms:
Ge  0.5000  0.5000  0.5000  -0.07
Tc  0.2500  0.2500  0.2500  1.46
Tc  0.7500  0.7500  0.7500  1.46
F  0.0000  0.0000  0.0000  0.09

Calculated values
The calculation puts the density of states at the Fermi level at 3.43 states/eV/f.u. The density comes out at 8.65 Mg/m³.

Preferred: b); penalty for the next structure: 18.0 kJ/mol of atoms.

a) DFT (PBE) results for a relaxed structure of TcGe2F.

a b c (Å): 4.4173 4.4173 4.4173
angles (deg): 60.00 60.00 60.00
Each line ends with the local moment (μB).
Fractional coordinates of all 4 atoms:
Ge  0.2500  0.2500  0.2500  -0.06
Ge  0.7500  0.7500  0.7500  -0.06
Tc  0.5000  0.5000  0.5000  1.31
F  0.0000  0.0000  0.0000  0.01

Calculated values
The calculation puts the density of states at the Fermi level at 4.68 states/eV/f.u. The density comes out at 7.15 Mg/m³.

b) DFT (PBE) results for a relaxed structure of TcGe2F.

a b c (Å): 5.7742 5.7742 6.2478
angles (deg): 62.48 62.48 90.00
Fractional coordinates of all 8 atoms:
Ge  0.6234  0.1250  0.2500
Ge  0.1266  0.6250  0.2500
Ge  0.3750  0.3766  0.7500
Ge  0.8750  0.8734  0.7500
Tc  0.0000  0.0000  0.0000
Tc  0.7500  0.2500  0.5000
F  0.5000  0.5000  0.0000
F  0.2500  0.7500  0.5000

Calculated values
The calculation puts the density of states at the Fermi level at 0.00 states/eV/f.u. The density comes out at 5.52 Mg/m³.

Preferred: b); penalty for the next structure: 3.8 kJ/mol of atoms.